(1)
The following is a PBE-GGA calculation of a geometry-optimized ThHgRh structure, from the Alexandria database.

Properties
Volume (Å³/atom): 25.400
Magnetic moment (Bohr magnetons per cell): 0.0
Formation energy from the elements (eV/atom): -0.496
SG: F-43m, No. 216

Lattice parameters (Å, degrees): 6.730 6.730 6.730 90.00 90.00 90.00
Fractional positions:
1 Th 0.000 0.000 0.000
2 Th 0.000 0.500 0.500
3 Th 0.500 0.000 0.500
4 Th 0.500 0.500 0.000
5 Hg 0.000 0.000 0.500
6 Hg 0.000 0.500 0.000
7 Hg 0.500 0.000 0.000
8 Hg 0.500 0.500 0.500
9 Rh 0.250 0.250 0.750
10 Rh 0.250 0.750 0.250
11 Rh 0.750 0.250 0.250
12 Rh 0.750 0.750 0.750



(2)
The following is a PBE-GGA calculation of a geometry-optimized Th4Hg5Rh2 structure, from the Alexandria database.

Properties
Volume (Å³/atom): 25.880
Magnetic moment (Bohr magnetons per cell): 0.0
Formation energy from the elements (eV/atom): -0.486
SG: P2/m, No. 10

Lattice parameters (Å, degrees): 7.909 3.740 9.656 90.00 94.63 90.00
Fractional positions:
1 Th 0.189 0.000 0.348
2 Th 0.219 0.000 0.934
3 Th 0.781 0.000 0.066
4 Th 0.811 0.000 0.652
5 Hg 0.157 0.500 0.637
6 Hg 0.462 0.500 0.169
7 Hg 0.500 0.500 0.500
8 Hg 0.538 0.500 0.831
9 Hg 0.843 0.500 0.363
10 Rh 0.083 0.500 0.139
11 Rh 0.917 0.500 0.861



(3)
The following is a PBE-GGA calculation of a geometry-optimized Th2TlHgRh structure, from the Alexandria database.

Properties
Volume (Å³/atom): 26.664
Magnetic moment (Bohr magnetons per cell): 0.0
Formation energy from the elements (eV/atom): -0.424
SG: P2_1/m, No. 11

Lattice parameters (Å, degrees): 8.440 4.048 8.453 90.00 112.58 90.00
Fractional positions:
1 Th 0.002 0.250 0.296
2 Th 0.334 0.250 0.104
3 Th 0.666 0.750 0.896
4 Th 0.998 0.750 0.704
5 Tl 0.318 0.250 0.711
6 Tl 0.682 0.750 0.289
7 Hg 0.351 0.750 0.449
8 Hg 0.649 0.250 0.551
9 Rh 0.102 0.750 0.112
10 Rh 0.898 0.250 0.888